Entry 1:
! SnGeSe2 (PBE-GGA, relaxed); values from VASP
! - Crystal system: orthorhombic
! - Uncorrected formation energy: -0.29 eV per atom
! - Total DFT energy (no corrections): -4.1895 eV/atom
! - Magnetization: 0.0 μB/f.u.
&SYSTEM
  ibrav = 0, nat = 16, ntyp = 3
/
ATOMIC_SPECIES
Sn 118.71 Sn.upf
Ge 72.64 Ge.upf
Se 78.96 Se.upf
CELL_PARAMETERS angstrom
-3.679 0.306 1.402
1.823 -2.452 5.319
4.101 17.916 6.855
ATOMIC_POSITIONS crystal
Sn 0.750 0.340 0.558
Sn 0.250 0.660 0.442
Sn 0.750 0.840 0.942
Sn 0.250 0.160 0.058
Ge 0.750 0.679 0.162
Ge 0.750 0.179 0.338
Ge 0.250 0.321 0.838
Ge 0.250 0.821 0.662
Se 0.750 0.880 0.576
Se 0.250 0.120 0.424
Se 0.750 0.380 0.924
Se 0.250 0.620 0.076
Se 0.250 0.395 0.655
Se 0.750 0.105 0.155
Se 0.250 0.895 0.845
Se 0.750 0.605 0.345

---

Entry 2:
! Sn5GeSe6 (PBE-GGA, relaxed); values from VASP
! - Crystal system: monoclinic
! - Uncorrected formation energy: -0.39 eV per atom
! - Total DFT energy (no corrections): -4.1848 eV/atom
! - Magnetization: 0.0 μB/f.u.
&SYSTEM
  ibrav = 0, nat = 12, ntyp = 3
/
ATOMIC_SPECIES
Ge 72.64 Ge.upf
Sn 118.71 Sn.upf
Se 78.96 Se.upf
CELL_PARAMETERS angstrom
7.196 -1.148 -0.894
-2.774 6.738 -0.894
-0.424 -0.536 7.310
ATOMIC_POSITIONS crystal
Ge 0.000 0.000 0.000
Sn 0.834 0.166 0.500
Sn 0.668 0.332 0.000
Sn 0.500 0.500 0.500
Sn 0.332 0.668 0.000
Sn 0.166 0.834 0.500
Se 0.919 0.597 0.758
Se 0.403 0.081 0.242
Se 0.760 0.760 0.247
Se 0.240 0.240 0.753
Se 0.597 0.919 0.758
Se 0.081 0.403 0.242

---

Entry 3:
! SnGeSe2 (PBE-GGA, relaxed); values from VASP
! - Crystal system: trigonal
! - Uncorrected formation energy: -0.29 eV per atom
! - Total DFT energy (no corrections): -4.1886 eV/atom
! - Magnetization: 0.0 μB/f.u.
&SYSTEM
  ibrav = 0, nat = 4, ntyp = 3
/
ATOMIC_SPECIES
Sn 118.71 Sn.upf
Ge 72.64 Ge.upf
Se 78.96 Se.upf
CELL_PARAMETERS angstrom
-2.594 -0.210 3.036
1.294 -0.888 3.678
0.654 7.254 3.695
ATOMIC_POSITIONS crystal
Sn 0.486 0.486 0.541
Ge 0.659 0.659 0.022
Se 0.085 0.085 0.746
Se 0.269 0.269 0.192

---

Question: Which of these has the lowest total DFT energy (no corrections)?
Answer: number 1

---

Question: Which value of total DFT energy (no corrections) does entry 2 give?
Answer: -4.1848 eV/atom